Li2GeAsAu PBE relaxed; symmetry = P4/mmm, No. 123; E_form = 79 meV per atom
1.0
-4.523 -0.299 -1.014
-0.699 -2.979 3.997
-0.838 3.732 2.636
As Ge Li Au
1 1 2 1
direct
0.000 0.000 0.000 As
0.500 0.500 0.500 Ge
0.500 0.000 0.000 Li
0.000 0.000 0.500 Li
0.000 0.500 0.000 Au

=====

Pm2Pr2SmTm2 PBE relaxed; symmetry = C2/m, No. 12; E_form = 98 meV per atom
1.0
-0.357 -1.866 3.008
-2.467 -3.433 -4.526
11.841 -1.860 0.254
Sm Pm Pr Tm
1 2 2 2
direct
0.000 0.000 0.500 Sm
0.222 0.444 0.357 Pm
0.778 0.556 0.643 Pm
0.558 0.116 0.777 Pr
0.442 0.884 0.223 Pr
0.333 0.667 0.920 Tm
0.667 0.333 0.080 Tm

=====

Na4AgBr2 PBE relaxed; symmetry = I4/mmm, No. 139; raw formation energy = -0.6138 eV/atom
1.0
-5.467 0.683 1.184
-0.710 -5.591 -0.051
-1.494 -2.724 8.088
Ag Na Br
1 4 2
direct
0.000 0.000 0.000 Ag
0.193 0.193 0.614 Na
0.807 0.807 0.386 Na
0.500 0.000 0.000 Na
0.000 0.500 0.000 Na
0.374 0.374 0.252 Br
0.626 0.626 0.748 Br

=====

La4Dy3Al4 PBE relaxed; symmetry = Immm, No. 71; E_form = -86 meV per atom
1.0
-0.941 -2.629 3.614
6.165 -6.225 -2.922
3.039 8.085 3.786
La Dy Al
4 3 4
direct
0.338 0.506 0.676 La
0.662 0.494 0.324 La
0.662 0.830 0.324 La
0.338 0.170 0.676 La
0.111 0.111 0.223 Dy
0.889 0.889 0.777 Dy
0.000 0.500 0.000 Dy
0.500 0.144 0.000 Al
0.260 0.760 0.521 Al
0.500 0.856 0.000 Al
0.740 0.240 0.479 Al

=====

BeC PBE relaxed; symmetry = P2_1/m, No. 11; E_form = 1078 meV per atom
1.0
-1.063 0.965 2.649
0.638 -1.640 0.853
5.425 1.769 1.533
C Be
2 2
direct
0.250 0.855 0.288 C
0.750 0.145 0.712 C
0.750 0.333 0.334 Be
0.250 0.667 0.666 Be

=====

NbPd2Rh PBE relaxed; symmetry = P4/mmm, No. 123; E_form = -423 meV per atom
1.0
-0.789 3.998 -0.449
-3.463 -0.495 1.675
1.579 0.701 3.472
Pd Nb Rh
2 1 1
direct
0.000 0.500 0.000 Pd
0.000 0.000 0.500 Pd
0.500 0.000 0.000 Nb
0.500 0.500 0.500 Rh

=====

La2Nd2Y PBE relaxed; symmetry = C2/c, No. 15; E_form = 101 meV per atom
1.0
6.245 0.669 -1.270
-2.054 5.771 -1.880
0.171 -0.730 9.682
Nd La Y
4 4 2
direct
0.107 0.753 0.979 Nd
0.773 0.628 0.521 Nd
0.227 0.372 0.479 Nd
0.893 0.247 0.021 Nd
0.554 0.636 0.852 La
0.216 0.797 0.352 La
0.446 0.364 0.148 La
0.784 0.203 0.648 La
0.720 0.970 0.250 Y
0.280 0.030 0.750 Y

=====

Tl3RuO PBE relaxed; symmetry = Pm-3m, No. 221; raw formation energy = 0.5078 eV/atom
1.0
5.248 0.000 0.000
0.000 5.248 0.000
0.000 0.000 5.248
O Tl Ru
1 3 1
direct
0.500 0.500 0.500 O
0.000 0.000 0.500 Tl
0.500 0.000 0.000 Tl
0.000 0.500 0.000 Tl
0.000 0.000 0.000 Ru